[1]
Computed, not measured: an optimized crystal structure of Zn2BF at the PBE level of DFT.

## Properties
M_tot, μB per cell: 0.00
Excess energy over the best structure of this formula in the dataset, meV per atom: 361
Density of states at the Fermi level, states/eV/cell: 9.6
Energy relative to the elements, uncorrected, eV per atom: 0.191

```
data_Zn2BF
_cell_length_a 5.7664
_cell_length_b 5.7664
_cell_length_c 5.7664
_cell_angle_alpha 90.00
_cell_angle_beta 90.00
_cell_angle_gamma 90.00
_symmetry_space_group_name_H-M 'F m -3 m'
_symmetry_Int_Tables_number 225
_symmetry_space_group_name_Hall '-F 4 2 3'
loop_
_atom_site_label
_atom_site_type_symbol
_atom_site_fract_x
_atom_site_fract_y
_atom_site_fract_z
_atom_site_occupancy
Zn1 Zn 0.2500 0.2500 0.2500 1
B1 B 0.0000 0.0000 0.0000 1
F1 F 0.0000 0.0000 0.5000 1
```

[2]
Computed, not measured: an optimized crystal structure of CaSm5Er6 at the PBE level of DFT.

## Properties
M_tot, μB per cell: 0.00
Calculated formation energy, meV per atom: 48
Density of states at the Fermi level, states/eV/cell: 33.0

```
data_CaSm5Er6
_cell_length_a 11.8501
_cell_length_b 10.7523
_cell_length_c 6.2084
_cell_angle_alpha 90.00
_cell_angle_beta 100.01
_cell_angle_gamma 90.00
_symmetry_space_group_name_H-M 'C 1 2/m 1'
_symmetry_Int_Tables_number 12
_symmetry_space_group_name_Hall '-C 2y'
loop_
_atom_site_label
_atom_site_type_symbol
_atom_site_fract_x
_atom_site_fract_y
_atom_site_fract_z
_atom_site_occupancy
Ca1 Ca 0.0000 0.0000 0.0000 1
Sm1 Sm 0.0000 0.1701 0.5000 1
Sm2 Sm 0.0000 0.3378 0.0000 1
Sm3 Sm 0.0000 0.5000 0.5000 1
Er1 Er 0.2458 0.3307 0.7467 1
Er2 Er 0.2479 0.5000 0.2566 1
```

[3]
Computed, not measured: an optimized crystal structure of CaCuP2 at the PBE level of DFT.

## Properties
M_tot, μB per cell: 0.00
Calculated formation energy, meV per atom: -521
Density of states at the Fermi level, states/eV/cell: 3.8

```
data_CaCuP2
_cell_length_a 5.1841
_cell_length_b 4.0968
_cell_length_c 15.0049
_cell_angle_alpha 90.00
_cell_angle_beta 90.00
_cell_angle_gamma 90.00
_symmetry_space_group_name_H-M 'P m n 21'
_symmetry_Int_Tables_number 31
_symmetry_space_group_name_Hall 'P 2ac -2'
loop_
_atom_site_label
_atom_site_type_symbol
_atom_site_fract_x
_atom_site_fract_y
_atom_site_fract_z
_atom_site_occupancy
Ca1 Ca 0.0000 0.0007 0.0000 1
Ca2 Ca 0.0000 0.9984 0.2693 1
Cu1 Cu 0.0000 0.4999 0.5254 1
Cu2 Cu 0.0000 0.5008 0.7649 1
P1 P 0.2134 0.4985 0.1422 1
P2 P 0.2185 0.4983 0.3890 1
```

[4]
Computed, not measured: an optimized crystal structure of La2Sm4Dy at the PBE level of DFT.

## Properties
M_tot, μB per cell: 0.00
Calculated formation energy, meV per atom: 120
Excess energy over the best structure of this formula in the dataset, meV per atom: 74
Density of states at the Fermi level, states/eV/cell: 22.9

```
data_La2Sm4Dy
_cell_length_a 6.2808
_cell_length_b 6.6918
_cell_length_c 11.8040
_cell_angle_alpha 90.00
_cell_angle_beta 104.09
_cell_angle_gamma 90.00
_symmetry_space_group_name_H-M 'P 1 21/m 1'
_symmetry_Int_Tables_number 11
_symmetry_space_group_name_Hall '-P 2yb'
loop_
_atom_site_label
_atom_site_type_symbol
_atom_site_fract_x
_atom_site_fract_y
_atom_site_fract_z
_atom_site_occupancy
La1 La 0.1052 0.2500 0.4946 1
La2 La 0.2056 0.2500 0.0689 1
Sm1 Sm 0.1481 0.0075 0.7852 1
Sm2 Sm 0.3576 0.7500 0.0539 1
Sm3 Sm 0.4804 0.7500 0.6464 1
Dy1 Dy 0.3540 0.7500 0.3414 1
```

[5]
Computed, not measured: an optimized crystal structure of La2Ni9Sn at the PBE level of DFT.

## Properties
M_tot, μB per cell: 0.00
Calculated formation energy, meV per atom: -187
Density of states at the Fermi level, states/eV/cell: 35.7

```
data_La2Ni9Sn
_cell_length_a 4.9477
_cell_length_b 4.9477
_cell_length_c 25.1657
_cell_angle_alpha 90.00
_cell_angle_beta 90.00
_cell_angle_gamma 120.00
_symmetry_space_group_name_H-M 'R -3 m'
_symmetry_Int_Tables_number 166
_symmetry_space_group_name_Hall '-R 3 2"'
loop_
_atom_site_label
_atom_site_type_symbol
_atom_site_fract_x
_atom_site_fract_y
_atom_site_fract_z
_atom_site_occupancy
La1 La 0.0000 0.0000 0.1353 1
Ni1 Ni 0.0000 0.0000 0.3325 1
Ni2 Ni 0.0000 0.0000 0.5000 1
Ni3 Ni 0.0011 0.5006 0.0801 1
Sn1 Sn 0.0000 0.0000 0.0000 1
```

[6]
Computed, not measured: an optimized crystal structure of Ac3Te6As at the PBE level of DFT.

## Properties
M_tot, μB per cell: 0.00
Energy relative to the elements, uncorrected, eV per atom: -1.152

```
data_Ac3Te6As
_cell_length_a 12.7512
_cell_length_b 15.8114
_cell_length_c 8.0552
_cell_angle_alpha 90.00
_cell_angle_beta 90.00
_cell_angle_gamma 90.00
_symmetry_space_group_name_H-M 'C m c 21'
_symmetry_Int_Tables_number 36
_symmetry_space_group_name_Hall 'C 2c -2'
loop_
_atom_site_label
_atom_site_type_symbol
_atom_site_fract_x
_atom_site_fract_y
_atom_site_fract_z
_atom_site_occupancy
Ac1 Ac 0.0000 0.1040 0.0000 1
Ac2 Ac 0.1832 0.4018 0.9192 1
Te1 Te 0.0000 0.2807 0.7427 1
Te2 Te 0.0000 0.4670 0.2119 1
Te3 Te 0.1603 0.0268 0.7087 1
Te4 Te 0.1671 0.2404 0.2017 1
As1 As 0.0000 0.3070 0.3613 1
```

[7]
Computed, not measured: an optimized crystal structure of GaTcSe2 at the PBE level of DFT.

## Properties
M_tot, μB per cell: 0.00
Excess energy over the best structure of this formula in the dataset, meV per atom: 0
Density of states at the Fermi level, states/eV/cell: 6.1
Energy relative to the elements, uncorrected, eV per atom: -0.096

```
data_GaTcSe2
_cell_length_a 3.1670
_cell_length_b 3.1670
_cell_length_c 28.5939
_cell_angle_alpha 90.00
_cell_angle_beta 90.00
_cell_angle_gamma 120.00
_symmetry_space_group_name_H-M 'R -3 m'
_symmetry_Int_Tables_number 166
_symmetry_space_group_name_Hall '-R 3 2"'
loop_
_atom_site_label
_atom_site_type_symbol
_atom_site_fract_x
_atom_site_fract_y
_atom_site_fract_z
_atom_site_occupancy
Ga1 Ga 0.0000 0.0000 0.0000 1
Tc1 Tc 0.0000 0.0000 0.5000 1
Se1 Se 0.0000 0.0000 0.1046 1
```

[8]
Computed, not measured: an optimized crystal structure of PuCrSi2 at the PBE level of DFT.

## Properties
M_tot, μB per cell: 4.78
Density of states at the Fermi level, states/eV/cell: 6.9
Energy relative to the elements, uncorrected, eV per atom: -0.250

```
data_PuCrSi2
_cell_length_a 3.0667
_cell_length_b 3.0667
_cell_length_c 6.6485
_cell_angle_alpha 90.00
_cell_angle_beta 90.00
_cell_angle_gamma 90.00
_symmetry_space_group_name_H-M 'P 4/m m m'
_symmetry_Int_Tables_number 123
_symmetry_space_group_name_Hall '-P 4 2'
loop_
_atom_site_label
_atom_site_type_symbol
_atom_site_fract_x
_atom_site_fract_y
_atom_site_fract_z
_atom_site_occupancy
Pu1 Pu 0.0000 0.0000 0.0000 1
Cr1 Cr 0.0000 0.0000 0.5000 1
Si1 Si 0.5000 0.5000 0.3131 1
```

[9]
Computed, not measured: an optimized crystal structure of HfSi3N at the PBE level of DFT.

## Properties
M_tot, μB per cell: 0.00
Excess energy over the best structure of this formula in the dataset, meV per atom: 0
Density of states at the Fermi level, states/eV/cell: 1.8
Energy relative to the elements, uncorrected, eV per atom: 0.213

```
data_HfSi3N
_cell_length_a 4.0817
_cell_length_b 4.0817
_cell_length_c 4.0817
_cell_angle_alpha 90.00
_cell_angle_beta 90.00
_cell_angle_gamma 90.00
_symmetry_space_group_name_H-M 'P m -3 m'
_symmetry_Int_Tables_number 221
_symmetry_space_group_name_Hall '-P 4 2 3'
loop_
_atom_site_label
_atom_site_type_symbol
_atom_site_fract_x
_atom_site_fract_y
_atom_site_fract_z
_atom_site_occupancy
Hf1 Hf 0.0000 0.0000 0.0000 1
Si1 Si 0.0000 0.5000 0.5000 1
N1 N 0.5000 0.5000 0.5000 1
```

[10]
Computed, not measured: an optimized crystal structure of SrPRuS2 at the PBE level of DFT.

## Properties
M_tot, μB per cell: 3.80
Excess energy over the best structure of this formula in the dataset, meV per atom: 1929
Density of states at the Fermi level, states/eV/cell: 7.1
Energy relative to the elements, uncorrected, eV per atom: 1.431

```
data_SrPRuS2
_cell_length_a 5.3926
_cell_length_b 5.3926
_cell_length_c 5.4498
_cell_angle_alpha 90.00
_cell_angle_beta 90.00
_cell_angle_gamma 90.00
_symmetry_space_group_name_H-M 'P 4/m m m'
_symmetry_Int_Tables_number 123
_symmetry_space_group_name_Hall '-P 4 2'
loop_
_atom_site_label
_atom_site_type_symbol
_atom_site_fract_x
_atom_site_fract_y
_atom_site_fract_z
_atom_site_occupancy
Sr1 Sr 0.0000 0.0000 0.0000 1
P1 P 0.0000 0.0000 0.5000 1
Ru1 Ru 0.5000 0.5000 0.5000 1
S1 S 0.0000 0.5000 0.0000 1
```

[11]
Computed, not measured: an optimized crystal structure of CrIr3S at the PBE level of DFT.

## Properties
M_tot, μB per cell: 0.17
Excess energy over the best structure of this formula in the dataset, meV per atom: 0
Density of states at the Fermi level, states/eV/cell: 10.2
Energy relative to the elements, uncorrected, eV per atom: 1.171

```
data_CrIr3S
_cell_length_a 4.3688
_cell_length_b 4.3688
_cell_length_c 4.3688
_cell_angle_alpha 90.00
_cell_angle_beta 90.00
_cell_angle_gamma 90.00
_symmetry_space_group_name_H-M 'P m -3 m'
_symmetry_Int_Tables_number 221
_symmetry_space_group_name_Hall '-P 4 2 3'
loop_
_atom_site_label
_atom_site_type_symbol
_atom_site_fract_x
_atom_site_fract_y
_atom_site_fract_z
_atom_site_occupancy
Cr1 Cr 0.0000 0.0000 0.0000 1
Ir1 Ir 0.0000 0.5000 0.5000 1
S1 S 0.5000 0.5000 0.5000 1
```

[12]
Computed, not measured: an optimized crystal structure of HRuPt3 at the PBE level of DFT.

## Properties
M_tot, μB per cell: 0.01
Excess energy over the best structure of this formula in the dataset, meV per atom: 0
Density of states at the Fermi level, states/eV/cell: 6.6

```
data_HRuPt3
_cell_length_a 4.0010
_cell_length_b 4.0010
_cell_length_c 4.0010
_cell_angle_alpha 90.00
_cell_angle_beta 90.00
_cell_angle_gamma 90.00
_symmetry_space_group_name_H-M 'P m -3 m'
_symmetry_Int_Tables_number 221
_symmetry_space_group_name_Hall '-P 4 2 3'
loop_
_atom_site_label
_atom_site_type_symbol
_atom_site_fract_x
_atom_site_fract_y
_atom_site_fract_z
_atom_site_occupancy
H1 H 0.0000 0.0000 0.0000 1
Ru1 Ru 0.5000 0.5000 0.5000 1
Pt1 Pt 0.0000 0.0000 0.5000 1
```

Question: Which of these has the highest M_tot?
Answer: PuCrSi2